Record 1
Compound: Pa2SiNi7
Source: Alexandria via LeMat-Bulk
Functional: PBE
Structure: relaxed

Structure (CIF):
```
data_Pa2SiNi7
_space_group_name_H-M_alt 'P -4 m 2'
_space_group_IT_number 115
_cell_length_a 3.659
_cell_length_b 3.659
_cell_length_c 10.804
_cell_angle_alpha 90.00
_cell_angle_beta 90.00
_cell_angle_gamma 90.00
loop_
_space_group_symop_operation_xyz
'x,y,z'
'y,-x,-z'
'-x,-y,z'
'-y,x,-z'
'-x,y,z'
'-y,-x,-z'
'x,-y,z'
'y,x,-z'
loop_
_atom_site_label
_atom_site_type_symbol
_atom_site_fract_x
_atom_site_fract_y
_atom_site_fract_z
Pa1 Pa 0.000 0.500 0.242
Si1 Si 0.000 0.000 0.500
Ni1 Ni 0.000 0.000 0.000
Ni2 Ni 0.000 0.500 0.642
Ni3 Ni 0.000 0.500 0.857
Ni4 Ni 0.500 0.500 0.000
Ni5 Ni 0.500 0.500 0.500
```

Summary:
**Electronic total energy**: -6.852 eV per atom
**N(E_F)**: 9.86 states/eV/cell
**Calculated volume**: 144.63 Å³ per cell
**Formation energy without anion corrections**: -0.3631 eV/atom

Record 2
Compound: Zr2AlSi
Source: Alexandria via LeMat-Bulk
Functional: PBE
Structure: relaxed

Structure (CIF):
```
data_Zr2AlSi
_space_group_name_H-M_alt 'P -3 m 1'
_space_group_IT_number 164
_space_group_name_Hall '-P 3 2"'
_cell_length_a 4.4991
_cell_length_b 4.4991
_cell_length_c 9.5606
_cell_angle_alpha 90.00
_cell_angle_beta 90.00
_cell_angle_gamma 120.00
loop_
_atom_site_label
_atom_site_type_symbol
_atom_site_fract_x
_atom_site_fract_y
_atom_site_fract_z
Zr1 Zr 0.3333 0.6667 0.0750
Zr2 Zr 0.3333 0.6667 0.7344
Al1 Al 0.3333 0.6667 0.4375
Si1 Si 0.0000 0.0000 0.1498
```

Summary:
**E above lowest polymorph**: 2.22 eV per formula unit
**Electronic total energy**: -6.746 eV per atom
**N(E_F)**: 5.76 states/eV/cell
**Calculated volume**: 167.60 Å³ per cell
**Formation energy without anion corrections**: -0.1803 eV/atom

Record 3
Compound: Ta2ReHPt
Source: Alexandria via LeMat-Bulk
Functional: PBE
Structure: relaxed

Structure (CIF):
```
data_Ta2ReHPt
_space_group_name_H-M_alt 'P 4/m m m'
_space_group_IT_number 123
_space_group_name_Hall '-P 4 2'
_cell_length_a 4.175
_cell_length_b 4.175
_cell_length_c 3.899
_cell_angle_alpha 90.00
_cell_angle_beta 90.00
_cell_angle_gamma 90.00
loop_
_atom_site_label
_atom_site_type_symbol
_atom_site_fract_x
_atom_site_fract_y
_atom_site_fract_z
Ta1 Ta 0.000 0.500 0.000
Re1 Re 0.000 0.000 0.500
H1 H 0.000 0.000 0.000
Pt1 Pt 0.500 0.500 0.500
```

Summary:
**E above lowest polymorph**: 0.00 eV per formula unit
**Electronic total energy**: -9.375 eV per atom
**N(E_F)**: 5.31 states/eV/cell
**Calculated volume**: 67.96 Å³ per cell

Record 4
Compound: Mn2CuTcH
Source: Alexandria via LeMat-Bulk
Functional: PBE
Structure: relaxed

Structure (CIF):
```
data_Mn2CuTcH
_space_group_name_H-M_alt 'P 4/m m m'
_space_group_IT_number 123
_space_group_name_Hall '-P 4 2'
_cell_length_a 3.726
_cell_length_b 3.726
_cell_length_c 3.777
_cell_angle_alpha 90.00
_cell_angle_beta 90.00
_cell_angle_gamma 90.00
loop_
_atom_site_label
_atom_site_type_symbol
_atom_site_fract_x
_atom_site_fract_y
_atom_site_fract_z
Mn1 Mn 0.000 0.500 0.000
Cu1 Cu 0.000 0.000 0.500
Tc1 Tc 0.500 0.500 0.500
H1 H 0.500 0.500 0.000
```

Summary:
**E above lowest polymorph**: 0.00 eV per formula unit
**Electronic total energy**: -7.057 eV per atom
**N(E_F)**: 4.93 states/eV/cell
**Calculated volume**: 52.43 Å³ per cell

Record 5
Compound: Pu2USn9
Source: Alexandria via LeMat-Bulk
Functional: PBE
Structure: relaxed

Structure (CIF):
```
data_Pu2USn9
_space_group_name_H-M_alt 'P 4/m m m'
_space_group_IT_number 123
_space_group_name_Hall '-P 4 2'
_cell_length_a 4.642
_cell_length_b 4.642
_cell_length_c 14.040
_cell_angle_alpha 90.00
_cell_angle_beta 90.00
_cell_angle_gamma 90.00
loop_
_atom_site_label
_atom_site_type_symbol
_atom_site_fract_x
_atom_site_fract_y
_atom_site_fract_z
Pu1 Pu 0.000 0.000 0.169
U1 U 0.000 0.000 0.500
Sn1 Sn 0.000 0.500 0.000
Sn2 Sn 0.000 0.500 0.334
Sn3 Sn 0.500 0.500 0.167
Sn4 Sn 0.500 0.500 0.500
```

Summary:
**Electronic total energy**: -6.612 eV per atom
**Energy of formation**: -0.281 eV/atom
**N(E_F)**: 25.74 states/eV/cell
**Calculated volume**: 302.48 Å³ per cell

Record 6
Compound: Na2Ca4Bi3H2
Source: Alexandria via LeMat-Bulk
Functional: PBE
Structure: relaxed

Structure (CIF):
```
data_Na2Ca4Bi3H2
_space_group_name_H-M_alt 'I 4/m m m'
_space_group_IT_number 139
_space_group_name_Hall '-I 4 2'
_cell_length_a 5.064
_cell_length_b 5.064
_cell_length_c 24.581
_cell_angle_alpha 90.00
_cell_angle_beta 90.00
_cell_angle_gamma 90.00
loop_
_atom_site_label
_atom_site_type_symbol
_atom_site_fract_x
_atom_site_fract_y
_atom_site_fract_z
Na1 Na 0.000 0.000 0.201
Ca1 Ca 0.000 0.500 0.086
Bi1 Bi 0.000 0.000 0.332
Bi2 Bi 0.000 0.000 0.500
H1 H 0.000 0.000 0.090
```

Summary:
**Electronic total energy**: -3.200 eV per atom
**N(E_F)**: 9.59 states/eV/cell
**Calculated volume**: 630.26 Å³ per cell

Record 7
Compound: Sr2GaTcSe
Source: Alexandria via LeMat-Bulk
Functional: PBE
Structure: relaxed

Structure (CIF):
```
data_Sr2GaTcSe
_space_group_name_H-M_alt 'P 4/m m m'
_space_group_IT_number 123
_space_group_name_Hall '-P 4 2'
_cell_length_a 6.021
_cell_length_b 6.021
_cell_length_c 4.955
_cell_angle_alpha 90.00
_cell_angle_beta 90.00
_cell_angle_gamma 90.00
loop_
_atom_site_label
_atom_site_type_symbol
_atom_site_fract_x
_atom_site_fract_y
_atom_site_fract_z
Sr1 Sr 0.000 0.500 0.000
Ga1 Ga 0.000 0.000 0.000
Tc1 Tc 0.500 0.500 0.500
Se1 Se 0.000 0.000 0.500
```

Summary:
**Electronic total energy**: -3.349 eV per atom
**N(E_F)**: 8.89 states/eV/cell
**Calculated volume**: 179.63 Å³ per cell
**Formation energy without anion corrections**: 0.6987 eV/atom

Record 8
Compound: Pr2AlIr3
Source: Alexandria via LeMat-Bulk
Functional: PBE
Structure: relaxed

Structure (CIF):
```
data_Pr2AlIr3
_space_group_name_H-M_alt 'I m m m'
_space_group_IT_number 71
_space_group_name_Hall '-I 2 2'
_cell_length_a 4.216
_cell_length_b 5.526
_cell_length_c 11.301
_cell_angle_alpha 90.00
_cell_angle_beta 90.00
_cell_angle_gamma 90.00
loop_
_atom_site_label
_atom_site_type_symbol
_atom_site_fract_x
_atom_site_fract_y
_atom_site_fract_z
Pr1 Pr 0.000 0.000 0.182
Al1 Al 0.000 0.000 0.500
Ir1 Ir 0.000 0.500 0.121
Ir2 Ir 0.000 0.500 0.500
```

Summary:
**E above lowest polymorph**: 3.07 eV per formula unit
**Electronic total energy**: -6.893 eV per atom
**Energy of formation**: -0.245 eV/atom
**N(E_F)**: 6.59 states/eV/cell
**Calculated volume**: 263.33 Å³ per cell

Record 9
Compound: Ce3Pr2SmS6
Source: Alexandria via LeMat-Bulk
Functional: PBE
Structure: relaxed

Structure (CIF):
```
data_Ce3Pr2SmS6
_space_group_name_H-M_alt 'C 1 2/m 1'
_space_group_IT_number 12
_cell_length_a 7.015
_cell_length_b 12.158
_cell_length_c 7.023
_cell_angle_alpha 90.00
_cell_angle_beta 109.49
_cell_angle_gamma 90.00
loop_
_space_group_symop_operation_xyz
'x,y,z'
'-x,-y,-z'
'-x,y,-z'
'x,-y,z'
'x+1/2,y+1/2,z'
'-x+1/2,-y+1/2,-z'
'-x+1/2,y+1/2,-z'
'x+1/2,-y+1/2,z'
loop_
_atom_site_label
_atom_site_type_symbol
_atom_site_fract_x
_atom_site_fract_y
_atom_site_fract_z
Ce1 Ce 0.000 0.000 0.000
Ce2 Ce 0.000 0.332 0.000
Pr1 Pr 0.000 0.166 0.500
Sm1 Sm 0.000 0.500 0.500
S1 S 0.244 0.500 0.246
S2 S 0.248 0.336 0.753
```

Summary:
**Electronic total energy**: -6.773 eV per atom
**N(E_F)**: 34.06 states/eV/cell
**Calculated volume**: 564.60 Å³ per cell
**Formation energy without anion corrections**: -2.0364 eV/atom

Record 10
Compound: Cu3BMo
Source: Alexandria via LeMat-Bulk
Functional: PBE
Structure: relaxed

Structure (CIF):
```
data_Cu3BMo
_space_group_name_H-M_alt 'P m -3 m'
_space_group_IT_number 221
_space_group_name_Hall '-P 4 2 3'
_cell_length_a 4.699
_cell_length_b 4.699
_cell_length_c 4.699
_cell_angle_alpha 90.00
_cell_angle_beta 90.00
_cell_angle_gamma 90.00
loop_
_atom_site_label
_atom_site_type_symbol
_atom_site_fract_x
_atom_site_fract_y
_atom_site_fract_z
Cu1 Cu 0.000 0.000 0.500
B1 B 0.500 0.500 0.500
Mo1 Mo 0.000 0.000 0.000
```

Summary:
**E above lowest polymorph**: 9.18 eV per formula unit
**Electronic total energy**: -3.586 eV per atom
**Energy of formation**: 2.374 eV/atom
**N(E_F)**: 6.61 states/eV/cell
**Calculated volume**: 103.76 Å³ per cell

Record 11
Compound: LiU2CrS6
Source: Alexandria via LeMat-Bulk
Functional: PBE
Structure: relaxed

Structure (CIF):
```
data_LiU2CrS6
_space_group_name_H-M_alt 'R 3'
_space_group_IT_number 146
_space_group_name_Hall 'R 3'
_cell_length_a 6.5056
_cell_length_b 6.5056
_cell_length_c 18.0556
_cell_angle_alpha 90.00
_cell_angle_beta 90.00
_cell_angle_gamma 120.00
loop_
_atom_site_label
_atom_site_type_symbol
_atom_site_fract_x
_atom_site_fract_y
_atom_site_fract_z
Li1 Li 0.0000 0.0000 0.0000
U1 U 0.0000 0.0000 0.2958
U2 U 0.0000 0.0000 0.8050
Cr1 Cr 0.0000 0.0000 0.4836
S1 S 0.0096 0.3742 0.2272
S2 S 0.0386 0.6749 0.0654
```

Summary:
**Electronic total energy**: -7.038 eV per atom
**N(E_F)**: 36.69 states/eV/cell
**Calculated volume**: 661.80 Å³ per cell
**Formation energy without anion corrections**: -1.1502 eV/atom

Record 12
Compound: CeY3Ho2As6
Source: Alexandria via LeMat-Bulk
Functional: PBE
Structure: relaxed

Structure (CIF):
```
data_CeY3Ho2As6
_space_group_name_H-M_alt 'C 1 2/m 1'
_space_group_IT_number 12
_cell_length_a 7.154
_cell_length_b 12.390
_cell_length_c 7.157
_cell_angle_alpha 90.00
_cell_angle_beta 109.46
_cell_angle_gamma 90.00
loop_
_space_group_symop_operation_xyz
'x,y,z'
'-x,-y,-z'
'-x,y,-z'
'x,-y,z'
'x+1/2,y+1/2,z'
'-x+1/2,-y+1/2,-z'
'-x+1/2,y+1/2,-z'
'x+1/2,-y+1/2,z'
loop_
_atom_site_label
_atom_site_type_symbol
_atom_site_fract_x
_atom_site_fract_y
_atom_site_fract_z
Ce1 Ce 0.000 0.000 0.000
Y1 Y 0.000 0.166 0.500
Y2 Y 0.000 0.500 0.500
Ho1 Ho 0.000 0.333 0.000
As1 As 0.248 0.500 0.249
As2 As 0.249 0.333 0.750
```

Summary:
**Electronic total energy**: -6.728 eV per atom
**Energy of formation**: -1.530 eV/atom
**N(E_F)**: 11.09 states/eV/cell
**Calculated volume**: 598.16 Å³ per cell

Record 13
Compound: AcMg4Tl6
Source: Alexandria via LeMat-Bulk
Functional: PBE
Structure: relaxed

Structure (CIF):
```
data_AcMg4Tl6
_space_group_name_H-M_alt 'P -6 m 2'
_space_group_IT_number 187
_space_group_name_Hall 'P -6 2'
_cell_length_a 8.7034
_cell_length_b 8.7034
_cell_length_c 4.7034
_cell_angle_alpha 90.00
_cell_angle_beta 90.00
_cell_angle_gamma 120.00
loop_
_atom_site_label
_atom_site_type_symbol
_atom_site_fract_x
_atom_site_fract_y
_atom_site_fract_z
Ac1 Ac 0.0000 0.0000 0.0000
Mg1 Mg 0.3333 0.6667 0.0000
Mg2 Mg 0.4162 0.2081 0.5000
Tl1 Tl 0.1920 0.3839 0.5000
Tl2 Tl 0.5320 0.0640 0.0000
```

Summary:
**Electronic total energy**: -2.300 eV per atom
**Energy of formation**: -0.056 eV/atom
**N(E_F)**: 5.06 states/eV/cell
**Calculated volume**: 308.55 Å³ per cell